## one
Below is a relaxed DyBPO crystal, with properties calculated at the GGA-PBE level.

Computed properties:
The value obtained for the calculated density is 5.47 Mg/m³. The space group is No. 129.

Unit cell a=5.650 b=5.650 c=4.194 alpha=90.00 beta=90.00 gamma=90.00
Sites, in units of the cell vectors:
Dy (0.000, 0.000, 0.500)
Dy (0.500, 0.500, 0.500)
O (0.000, 0.000, 0.000)
O (0.500, 0.500, 0.000)
B (0.500, 0.000, 0.644)
B (0.000, 0.500, 0.356)
P (0.500, 0.000, 0.214)
P (0.000, 0.500, 0.786)

***

## two
Below is a relaxed DyBPO crystal, with properties calculated at the GGA-PBE level.

Computed properties:
The value obtained for the calculated density is 5.74 Mg/m³. The space group is No. 26.

Unit cell a=3.383 b=6.627 c=5.686 alpha=90.00 beta=90.00 gamma=90.00
Sites, in units of the cell vectors:
P (0.000, 0.702, 0.944)
P (0.000, 0.298, 0.444)
O (0.500, 0.067, 0.931)
O (0.500, 0.933, 0.431)
B (0.500, 0.859, 0.933)
B (0.500, 0.141, 0.433)
Dy (0.000, 0.721, 0.446)
Dy (0.000, 0.279, 0.946)

***

Computed stability ranking, most favorable first: two, one

***

## one
Below is a relaxed DyBPO crystal, with properties calculated at the GGA-PBE level.

Computed properties:
The value obtained for the calculated density is 6.84 Mg/m³. The space group is No. 129.

Unit cell a=3.903 b=3.903 c=7.022 alpha=90.00 beta=90.00 gamma=90.00
Sites, in units of the cell vectors:
B (0.000, 0.000, 0.500)
B (0.500, 0.500, 0.500)
Dy (0.000, 0.500, 0.159)
Dy (0.500, 0.000, 0.841)
P (0.000, 0.500, 0.601)
P (0.500, 0.000, 0.399)
O (0.000, 0.000, 0.000)
O (0.500, 0.500, 0.000)

***

## two
Below is a relaxed DyBPO crystal, with properties calculated at the GGA-PBE level.

Computed properties:
The value obtained for the calculated density is 6.19 Mg/m³. The space group is No. 26.

Unit cell a=3.767 b=5.386 c=5.829 alpha=90.00 beta=90.00 gamma=90.00
Sites, in units of the cell vectors:
Dy (0.500, 0.221, 0.594)
Dy (0.500, 0.779, 0.094)
B (0.000, 0.685, 0.441)
B (0.000, 0.315, 0.941)
P (0.000, 0.378, 0.268)
P (0.000, 0.622, 0.768)
O (0.500, 0.153, 0.951)
O (0.500, 0.847, 0.451)

***

Computed stability ranking, most favorable first: one, two

***

## one
Below is a relaxed DyB4Pb crystal, with properties calculated at the GGA-PBE level.

Computed properties:
The value obtained for the calculated density is 9.20 Mg/m³. The space group is No. 71.

Unit cell a=5.308 b=5.308 c=5.308 alpha=144.57 beta=118.90 gamma=72.65
Sites, in units of the cell vectors:
B (0.070, 0.742, 0.328)
B (0.413, 0.742, 0.672)
B (0.587, 0.258, 0.328)
B (0.930, 0.258, 0.672)
Dy (0.000, 0.000, 0.000)
Pb (0.500, 0.500, 0.000)

***

## two
Below is a relaxed DyB4Pb crystal, with properties calculated at the GGA-PBE level.

Computed properties:
The value obtained for the calculated density is 8.84 Mg/m³. The space group is No. 191.

Unit cell a=3.249 b=3.249 c=8.481 alpha=90.00 beta=90.00 gamma=120.00
Sites, in units of the cell vectors:
B (0.667, 0.333, 0.777)
B (0.333, 0.667, 0.223)
B (0.333, 0.667, 0.777)
B (0.667, 0.333, 0.223)
Dy (0.000, 0.000, 0.000)
Pb (0.000, 0.000, 0.500)

***

Computed stability ranking, most favorable first: one, two

***

## one
Below is a relaxed DyBPd crystal, with properties calculated at the GGA-PBE level.

Computed properties:
The value obtained for the calculated density is 8.97 Mg/m³. The space group is No. 216.

Unit cell a=4.183 b=4.183 c=4.183 alpha=60.00 beta=60.00 gamma=60.00
Sites, in units of the cell vectors:
Dy (0.250, 0.250, 0.250)
Pd (0.750, 0.750, 0.750)
B (0.000, 0.000, 0.000)

***

## two
Below is a relaxed DyBPd crystal, with properties calculated at the GGA-PBE level.

Computed properties:
The value obtained for the calculated density is 8.17 Mg/m³. The space group is No. 216.

Unit cell a=4.317 b=4.317 c=4.317 alpha=60.00 beta=60.00 gamma=60.00
Last column: magnetic moment on the atom in μB.
Sites, in units of the cell vectors:
Pd (0.000, 0.000, 0.000)  0.10
Dy (0.750, 0.750, 0.750)  0.18
B (0.250, 0.250, 0.250)  0.16

***

Computed stability ranking, most favorable first: one, two

***

## one
Below is a relaxed DyB4Pd crystal, with properties calculated at the GGA-PBE level.

Computed properties:
The value obtained for the calculated density is 8.03 Mg/m³. The space group is No. 71.

Unit cell a=4.932 b=4.932 c=4.932 alpha=142.67 beta=114.59 gamma=77.80
Sites, in units of the cell vectors:
Dy (0.000, 0.000, 0.000)
B (0.418, 0.743, 0.676)
B (0.067, 0.743, 0.324)
B (0.933, 0.257, 0.676)
B (0.582, 0.257, 0.324)
Pd (0.500, 0.500, 0.000)

***

## two
Below is a relaxed DyB4Pd crystal, with properties calculated at the GGA-PBE level.

Computed properties:
The value obtained for the calculated density is 8.33 Mg/m³. The space group is No. 191.

Unit cell a=3.216 b=3.216 c=6.945 alpha=90.00 beta=90.00 gamma=120.00
Sites, in units of the cell vectors:
B (0.667, 0.333, 0.731)
B (0.667, 0.333, 0.269)
B (0.333, 0.667, 0.731)
B (0.333, 0.667, 0.269)
Dy (0.000, 0.000, 0.000)
Pd (0.000, 0.000, 0.500)

***

Computed stability ranking, most favorable first: one, two

***

## one
Below is a relaxed PmDyB4 crystal, with properties calculated at the GGA-PBE level.

Computed properties:
The value obtained for the calculated density is 7.73 Mg/m³. The space group is No. 191.

Unit cell a=3.311 b=3.311 c=7.940 alpha=90.00 beta=90.00 gamma=120.00
Sites, in units of the cell vectors:
B (0.333, 0.667, 0.741)
B (0.333, 0.667, 0.259)
B (0.667, 0.333, 0.741)
B (0.667, 0.333, 0.259)
Pm (0.000, 0.000, 0.000)
Dy (0.000, 0.000, 0.500)

***

## two
Below is a relaxed PmDyB4 crystal, with properties calculated at the GGA-PBE level.

Computed properties:
The value obtained for the calculated density is 7.71 Mg/m³. The space group is No. 71.

Unit cell a=5.171 b=5.171 c=5.171 alpha=142.62 beta=112.53 gamma=79.76
Sites, in units of the cell vectors:
B (0.082, 0.749, 0.333)
B (0.415, 0.749, 0.667)
B (0.585, 0.251, 0.333)
B (0.918, 0.251, 0.667)
Pm (0.500, 0.500, 0.000)
Dy (0.000, 0.000, 0.000)

***

Computed stability ranking, most favorable first: one, two

***

## one
Below is a relaxed PrDyB4 crystal, with properties calculated at the GGA-PBE level.

Computed properties:
The value obtained for the calculated density is 7.50 Mg/m³. The space group is No. 191.

Unit cell a=3.314 b=3.314 c=8.070 alpha=90.00 beta=90.00 gamma=120.00
Sites, in units of the cell vectors:
B (0.333, 0.667, 0.264)
B (0.667, 0.333, 0.736)
B (0.667, 0.333, 0.264)
B (0.333, 0.667, 0.736)
Dy (0.000, 0.000, 0.500)
Pr (0.000, 0.000, 0.000)

***

## two
Below is a relaxed PrDyB4 crystal, with properties calculated at the GGA-PBE level.

Computed properties:
The value obtained for the calculated density is 7.47 Mg/m³. The space group is No. 71.

Unit cell a=5.227 b=5.227 c=5.227 alpha=143.00 beta=113.14 gamma=78.95
Sites, in units of the cell vectors:
B (0.586, 0.252, 0.334)
B (0.081, 0.747, 0.334)
B (0.919, 0.252, 0.666)
B (0.414, 0.747, 0.666)
Pr (0.500, 0.500, 0.000)
Dy (0.000, 0.000, 0.000)

***

Computed stability ranking, most favorable first: one, two

***

## one
Below is a relaxed DyBPt crystal, with properties calculated at the GGA-PBE level.

Computed properties:
The value obtained for the calculated density is 10.47 Mg/m³. The space group is No. 216.

Unit cell a=4.355 b=4.355 c=4.355 alpha=60.00 beta=60.00 gamma=60.00
Sites, in units of the cell vectors:
Pt (0.000, 0.000, 0.000)
B (0.250, 0.250, 0.250)
Dy (0.750, 0.750, 0.750)

***

## two
Below is a relaxed DyBPt crystal, with properties calculated at the GGA-PBE level.

Computed properties:
The value obtained for the calculated density is 11.96 Mg/m³. The space group is No. 216.

Unit cell a=4.166 b=4.166 c=4.166 alpha=60.00 beta=60.00 gamma=60.00
Sites, in units of the cell vectors:
B (0.000, 0.000, 0.000)
Pt (0.750, 0.750, 0.750)
Dy (0.250, 0.250, 0.250)

***

Computed stability ranking, most favorable first: two, one